(1)
A plane-wave DFT calculation with PBE was carried out for a geometry-optimized PrCdAg4 structure.

The space group is F-43m (No. 216) and the conventional cell measures 7.991, 7.991 and 7.991 Å, with angles of 90.00, 90.00 and 90.00 degrees. Symmetry generates all atoms from Pr at (0.000, 0.000, 0.000), Cd at (0.250, 0.250, 0.750) and Ag at (0.124, 0.124, 0.376).

The size of the total moment comes out at 0.000 μB/atom.

---

(2)
A plane-wave DFT calculation with PBE was carried out for a geometry-optimized PrCd12Ag4 structure.

The space group is Im-3 (No. 204) and the conventional cell measures 9.636, 9.636 and 9.636 Å, with angles of 90.00, 90.00 and 90.00 degrees. Symmetry generates all atoms from Pr at (0.000, 0.000, 0.000), Cd at (0.000, 0.153, 0.349) and Ag at (0.250, 0.250, 0.250).

The size of the total moment comes out at 0.000 μB/atom.

---

(3)
A plane-wave DFT calculation with PBE was carried out for a geometry-optimized Pr4CdAg3 structure.

The space group is Pmmm (No. 47) and the conventional cell measures 3.807, 5.390 and 10.762 Å, with angles of 90.00, 90.00 and 90.00 degrees. Symmetry generates all atoms from Pr at (0.000, 0.000, 0.000), Pr at (0.000, 0.000, 0.500), Pr at (0.000, 0.500, 0.244), Cd at (0.500, 0.500, 0.500), Ag at (0.500, 0.000, 0.253) and Ag at (0.500, 0.500, 0.000).

The size of the total moment comes out at 0.071 μB/atom.

---

Which energy relative to the elements belongs to each record? In order, -0.2038; 0.1179; -0.2596 eV per atom.